# 1
First-principles (PBE-GGA) data for a relaxed structure of Dy2Y3Tm8, as listed in the Alexandria database. Values from VASP.

The structure in Quantum ESPRESSO input format:
```
&SYSTEM
  ibrav = 0, nat = 26, ntyp = 3
/
ATOMIC_SPECIES
Dy 162.50 Dy.upf
Y 88.91 Y.upf
Tm 168.93 Tm.upf
CELL_PARAMETERS angstrom
6.7712 0.0000 0.0000
2.4952 8.3769 0.0000
3.1996 -0.5524 14.4276
ATOMIC_POSITIONS crystal
Dy 0.2276 0.2865 0.1548
Dy 0.2393 0.2006 0.5708
Dy 0.7607 0.7994 0.4292
Dy 0.7724 0.7135 0.8452
Y 0.2219 0.5630 0.3121
Y 0.4464 0.1055 0.7765
Y 0.5000 0.0000 0.0000
Y 0.5000 0.5000 0.5000
Y 0.5536 0.8945 0.2235
Y 0.7781 0.4370 0.6879
Tm 0.0114 0.2660 0.3858
Tm 0.0284 0.3339 0.9315
Tm 0.0511 0.9376 0.2311
Tm 0.2345 0.8057 0.8897
Tm 0.2405 0.8931 0.4355
Tm 0.2525 0.4875 0.7376
Tm 0.4331 0.8131 0.6525
Tm 0.4974 0.6025 0.0872
Tm 0.5026 0.3975 0.9128
Tm 0.5669 0.1869 0.3475
Tm 0.7475 0.5125 0.2624
Tm 0.7595 0.1069 0.5645
Tm 0.7655 0.1943 0.1103
Tm 0.9489 0.0624 0.7689
Tm 0.9716 0.6661 0.0685
Tm 0.9886 0.7340 0.6142
```

## Properties
The calculation puts the formation energy from the elements at 0.122 eV per atom.

# 2
First-principles (PBE-GGA) data for a relaxed structure of DyY4Tm3, as listed in the Alexandria database. Values from VASP.

The structure in Quantum ESPRESSO input format:
```
&SYSTEM
  ibrav = 0, nat = 16, ntyp = 3
/
ATOMIC_SPECIES
Dy 162.50 Dy.upf
Y 88.91 Y.upf
Tm 168.93 Tm.upf
CELL_PARAMETERS angstrom
11.1918 0.0000 0.0000
0.0000 7.2423 0.0000
0.0000 0.0000 6.2536
ATOMIC_POSITIONS crystal
Dy 0.0000 0.1225 0.0000
Dy 0.5000 0.8775 0.5000
Y 0.0000 0.3724 0.4970
Y 0.0000 0.6270 0.9957
Y 0.2493 0.6270 0.3334
Y 0.2507 0.3730 0.8334
Y 0.5000 0.3730 0.4957
Y 0.5000 0.6276 0.9970
Y 0.7493 0.3730 0.8334
Y 0.7507 0.6270 0.3334
Tm 0.0000 0.8772 0.4996
Tm 0.2501 0.1227 0.3304
Tm 0.2499 0.8773 0.8304
Tm 0.5000 0.1228 0.9996
Tm 0.7499 0.1227 0.3304
Tm 0.7501 0.8773 0.8304
```

## Properties
The calculation puts the formation energy from the elements at 0.000 eV per atom.

# 3
First-principles (PBE-GGA) data for a relaxed structure of Dy2Y7Tm, as listed in the Alexandria database. Values from VASP.

The structure in Quantum ESPRESSO input format:
```
&SYSTEM
  ibrav = 0, nat = 10, ntyp = 3
/
ATOMIC_SPECIES
Dy 162.50 Dy.upf
Y 88.91 Y.upf
Tm 168.93 Tm.upf
CELL_PARAMETERS angstrom
4.3849 -8.0936 0.0000
4.3849 8.0936 0.0000
0.0000 0.0000 5.5506
ATOMIC_POSITIONS crystal
Dy 0.2037 0.7963 0.0000
Dy 0.7963 0.2037 0.0000
Y 0.0000 0.0000 0.0000
Y 0.2099 0.4362 0.0000
Y 0.2859 0.7141 0.5000
Y 0.4362 0.2099 0.0000
Y 0.5638 0.7901 0.0000
Y 0.7141 0.2859 0.5000
Y 0.7901 0.5638 0.0000
Tm 0.5000 0.5000 0.5000
```

## Properties
The calculation puts the formation energy from the elements at 0.701 eV per atom.